A plane-wave DFT calculation with PBE-GGA was carried out for a relaxed structure of Hf6In3Tc.

Cell and atoms, written as POSCAR:
```
Hf6In3Tc
1.0
5.4003 0.0000 -0.0759
0.0000 8.6783 0.0000
-0.1048 0.0000 9.5964
Hf In Tc
12 6 2
Cartesian
3.0636 1.4469 9.2385 Hf
3.0179 1.7024 5.2572 Hf
3.5015 3.3277 2.5279 Hf
1.7940 5.3506 6.9926 Hf
2.2776 6.9759 4.2634 Hf
2.2319 7.2314 0.2820 Hf
0.4159 2.8923 4.4783 Hf
0.3701 2.6368 0.4969 Hf
0.7489 1.0114 7.3640 Hf
4.5465 7.6668 2.1565 Hf
4.9254 6.0415 9.0236 Hf
4.8796 5.7860 5.0422 Hf
3.4405 7.9404 7.1271 In
2.7002 4.3391 -0.0379 In
1.8550 0.7379 2.3934 In
0.7928 5.0771 2.3668 In
-0.0524 0.0000 4.7982 In
4.5027 3.6012 7.1537 In
2.6477 4.3391 4.7603 Tc
0.0000 0.0000 0.0000 Tc
```

Its symmetry is No. 14. For the density of states at the Fermi level, the calculation gives 16.0 states/eV/cell. Its crystal system is monoclinic. Its calculated formation energy is 0.0173 eV per atom.


A plane-wave DFT calculation with PBE-GGA was carried out for a relaxed structure of Hf2InTc2.

Cell and atoms, written as POSCAR:
```
Hf2InTc2
1.0
7.4471 0.0000 0.0000
0.0000 7.4471 0.0000
0.0000 0.0000 3.4343
Hf Tc In
4 4 2
Cartesian
1.1437 4.8672 1.7172 Hf
4.8672 6.3034 1.7172 Hf
6.3034 2.5799 1.7172 Hf
2.5799 1.1437 1.7172 Hf
2.6446 6.3681 0.0000 Tc
6.3681 4.8025 0.0000 Tc
4.8025 1.0789 0.0000 Tc
1.0789 2.6446 0.0000 Tc
0.0000 0.0000 0.0000 In
3.7235 3.7235 0.0000 In
```

Its symmetry is No. 127. For the density of states at the Fermi level, the calculation gives 8.8 states/eV/cell. Its crystal system is tetragonal. Its calculated formation energy is -0.0908 eV per atom.


A plane-wave DFT calculation with PBE-GGA was carried out for a relaxed structure of HfInTc3.

Cell and atoms, written as POSCAR:
```
HfInTc3
1.0
4.7866 0.0000 0.0000
0.0000 4.7866 0.0000
0.0000 0.0000 4.7866
Hf Tc In
1 3 1
Cartesian
2.3933 2.3933 2.3933 Hf
0.0000 2.3933 0.0000 Tc
0.0000 0.0000 2.3933 Tc
2.3933 0.0000 0.0000 Tc
0.0000 0.0000 0.0000 In
```

Its symmetry is No. 221. For the density of states at the Fermi level, the calculation gives 6.3 states/eV/cell. Its energy above the most stable polymorph in this dataset is 0.305 eV per atom. Its crystal system is cubic. Its calculated formation energy is 1.9055 eV per atom.


A plane-wave DFT calculation with PBE-GGA was carried out for a relaxed structure of HfInTc3.

Cell and atoms, written as POSCAR:
```
HfInTc3
1.0
4.7935 0.0000 0.0000
0.0000 4.7935 0.0000
0.0000 0.0000 4.7935
Hf Tc In
1 3 1
Cartesian
0.0000 0.0000 0.0000 Hf
0.0000 2.3967 0.0000 Tc
0.0000 0.0000 2.3967 Tc
2.3967 0.0000 0.0000 Tc
2.3967 2.3967 2.3967 In
```

Its symmetry is No. 221. For the density of states at the Fermi level, the calculation gives 6.1 states/eV/cell. Its energy above the most stable polymorph in this dataset is 0.000 eV per atom. Its crystal system is cubic. Its calculated formation energy is 1.6005 eV per atom.


A plane-wave DFT calculation with PBE-GGA was carried out for a relaxed structure of HfIn2Tc2.

Cell and atoms, written as POSCAR:
```
HfIn2Tc2
1.0
-0.4904 7.1375 0.9416
-2.6050 0.7040 -6.6925
-3.4062 -0.4033 1.2834
Hf Tc In
2 4 4
Cartesian
0.0000 0.0000 0.0000 Hf
-1.5477 3.9207 -2.8754 Hf
-2.4160 3.1727 -5.4149 Tc
-2.0895 6.5869 -3.4755 Tc
-0.6794 4.6688 -0.3359 Tc
-1.0058 1.2545 -2.2753 Tc
-3.4946 1.3890 -3.6130 In
-4.2193 5.0873 -4.3740 In
-3.0070 6.0491 -0.8544 In
-2.2823 2.3508 -0.0934 In
```

Its symmetry is No. 127. For the density of states at the Fermi level, the calculation gives 12.3 states/eV/cell. Its crystal system is tetragonal. Its calculated formation energy is 0.2147 eV per atom.


A plane-wave DFT calculation with PBE-GGA was carried out for a relaxed structure of HfIn3Tc.

Cell and atoms, written as POSCAR:
```
HfIn3Tc
1.0
-3.2824 1.6536 -3.5317
0.6823 -4.3016 -2.6481
-3.8395 -2.1780 2.5487
Hf Tc In
1 1 3
Cartesian
-3.2198 -2.4130 -1.8156 Hf
0.0000 0.0000 0.0000 Tc
0.3411 -2.1508 -1.3241 In
-1.9198 -1.0890 1.2743 In
-1.6412 0.8268 -1.7659 In
```

Its symmetry is No. 221. For the density of states at the Fermi level, the calculation gives 8.0 states/eV/cell. Its energy above the most stable polymorph in this dataset is 0.000 eV per atom. Its crystal system is cubic. Its calculated formation energy is 0.8039 eV per atom.


A plane-wave DFT calculation with PBE-GGA was carried out for a relaxed structure of HfIn3Tc.

Cell and atoms, written as POSCAR:
```
HfIn3Tc
1.0
-1.1428 -5.1883 1.2454
-0.6652 -1.1251 -5.2978
5.2940 -1.2613 -0.3969
Hf Tc In
1 1 3
Cartesian
0.0000 0.0000 0.0000 Hf
1.7430 -3.7874 -2.2247 Tc
-0.3326 -0.5626 -2.6489 In
2.6470 -0.6307 -0.1984 In
-0.5714 -2.5941 0.6227 In
```

Its symmetry is No. 221. For the density of states at the Fermi level, the calculation gives 3.3 states/eV/cell. Its energy above the most stable polymorph in this dataset is 0.608 eV per atom. Its crystal system is cubic. Its calculated formation energy is 1.4121 eV per atom.


A plane-wave DFT calculation with PBE-GGA was carried out for a relaxed structure of Hf5In2Tc.

Cell and atoms, written as POSCAR:
```
Hf5In2Tc
1.0
-4.7630 1.0845 0.9861
-0.8664 0.6213 -4.8681
1.2319 -7.3111 1.3985
Hf In Tc
5 2 1
Cartesian
-2.8147 0.8529 -1.9410 Hf
-3.6019 -4.4370 0.0748 Hf
-1.6536 -4.6686 -2.8523 Hf
-0.7956 -1.1683 -2.5583 Hf
-2.7440 -0.9366 0.3688 Hf
-3.6057 -2.3747 -2.2121 In
-0.7918 -3.2306 -0.2714 In
0.0000 0.0000 0.0000 Tc
```

Its symmetry is No. 139. For the density of states at the Fermi level, the calculation gives 7.7 states/eV/cell. Its crystal system is tetragonal. Its calculated formation energy is -0.1616 eV per atom.


A plane-wave DFT calculation with PBE-GGA was carried out for a relaxed structure of Hf6InTc.

Cell and atoms, written as POSCAR:
```
Hf6InTc
1.0
8.1245 0.0051 0.0283
4.0593 6.4070 -0.1975
4.0508 2.0255 3.2235
Hf In Tc
6 1 1
Cartesian
5.1111 4.3823 2.4305 Hf
12.9797 7.6888 2.0773 Hf
6.2606 1.8945 0.5381 Hf
3.2549 0.7488 0.9770 Hf
11.1235 4.0552 0.6238 Hf
9.9740 6.5431 2.5162 Hf
8.1173 4.2188 1.5272 In
0.0000 0.0000 0.0000 Tc
```

Its symmetry is No. 148. For the density of states at the Fermi level, the calculation gives 7.5 states/eV/cell. Its crystal system is trigonal. Its calculated formation energy is -0.0988 eV per atom.


A plane-wave DFT calculation with PBE-GGA was carried out for a relaxed structure of HfInTcTe2.

Cell and atoms, written as POSCAR:
```
HfInTcTe2
1.0
-3.8970 -0.7636 -3.8830
-0.3022 -5.2139 1.3287
-3.9451 1.1786 3.7275
Te Hf Tc In
2 1 1 1
Cartesian
-1.9725 0.5893 1.8638 Te
-1.9485 -0.3818 -1.9415 Te
-0.1511 -2.6069 0.6643 Hf
-4.0721 -2.3995 0.5866 Tc
0.0000 0.0000 0.0000 In
```

Its symmetry is No. 123. For the density of states at the Fermi level, the calculation gives 5.7 states/eV/cell. The value obtained for the uncorrected formation energy is 1598 meV/atom. Its crystal system is tetragonal.


A plane-wave DFT calculation with PBE-GGA was carried out for a relaxed structure of YHfInTc2.

Cell and atoms, written as POSCAR:
```
YHfInTc2
1.0
4.8289 0.0000 0.0000
0.0000 5.2311 0.0000
0.0000 0.0000 4.8289
Y Hf Tc In
1 1 2 1
Cartesian
0.0000 0.0000 0.0000 Y
0.0000 2.6156 0.0000 Hf
0.0000 0.0000 2.4144 Tc
2.4144 0.0000 0.0000 Tc
2.4144 2.6156 2.4144 In
```

Its symmetry is No. 123. For the density of states at the Fermi level, the calculation gives 5.4 states/eV/cell. Its crystal system is tetragonal. Its calculated formation energy is 1.8163 eV per atom.